A relaxed structure of PuMgMnO6. Source: Alexandria via LeMat-Bulk, functional PBE with a Hubbard U.

```
PuMgMnO6
1.0
-1.926 -4.704 1.161
3.097 0.597 -4.152
7.290 -1.703 5.192
Mn O Mg Pu
2 12 2 2
direct
0.667 0.333 0.250 Mn
0.333 0.667 0.750 Mn
0.340 0.352 0.867 O
0.013 0.352 0.633 O
0.340 0.987 0.633 O
0.660 0.013 0.367 O
0.352 0.340 0.367 O
0.352 0.013 0.133 O
0.648 0.660 0.633 O
0.987 0.648 0.367 O
0.660 0.648 0.133 O
0.987 0.340 0.133 O
0.648 0.987 0.867 O
0.013 0.660 0.867 O
0.000 0.000 0.000 Mg
0.000 0.000 0.500 Mg
0.333 0.667 0.250 Pu
0.667 0.333 0.750 Pu
```

Output
- spin magnetization (μB/cell) = 10.00
- space group = P-31c, No. 163
- VASP energy (eV/f.u.) = -72.173